[1]
The following is a DFT calculation (PBE) of ZnCo3 after structural relaxation.

- Spin magnetization: 4.56 μB per formula unit
- Volume: 11.57 Å³/atom
- E: -5.63 eV/atom
- Symmetry: No. 123
- E_form: 0.015 eV per atom

Cell: 2.570 2.570 7.004 Å, 90.00 90.00 90.00°
Sites, in units of the cell vectors:
Zn 0.000 0.000 0.000
Co 0.000 0.000 0.500
Co 0.500 0.500 0.265
Co 0.500 0.500 0.735

---

[2]
The following is a DFT calculation (PBE) of ZnCo after structural relaxation.

- Spin magnetization: 1.25 μB per formula unit
- Volume: 12.23 Å³/atom
- E: -4.14 eV/atom
- Symmetry: No. 59
- E_form: 0.047 eV per atom

Cell: 2.604 4.220 4.451 Å, 90.00 90.00 90.00°
Sites, in units of the cell vectors:
Zn 0.250 0.250 0.090
Zn 0.750 0.750 0.910
Co 0.250 0.750 0.422
Co 0.750 0.250 0.578

---

[3]
The following is a DFT calculation (PBE) of ZnCo5 after structural relaxation.

- Spin magnetization: 8.55 μB per formula unit
- Volume: 12.68 Å³/atom
- E: -5.88 eV/atom
- Symmetry: No. 191
- E_form: 0.251 eV per atom

Cell: 4.637 4.637 4.085 Å, 90.00 90.00 120.00°
Sites, in units of the cell vectors:
Zn 0.000 0.000 0.000
Co 0.000 0.500 0.500
Co 0.333 0.667 0.000
Co 0.500 0.000 0.500
Co 0.500 0.500 0.500
Co 0.667 0.333 0.000

---

[4]
The following is a DFT calculation (PBE) of Zn3Co after structural relaxation.

- Spin magnetization: 0.00 μB per formula unit
- Volume: 13.02 Å³/atom
- E: -2.77 eV/atom
- Symmetry: No. 59
- E_form: -0.036 eV per atom

Cell: 4.216 5.212 4.741 Å, 90.00 90.00 90.00°
Sites, in units of the cell vectors:
Zn 0.250 0.002 0.163
Zn 0.250 0.498 0.163
Zn 0.250 0.750 0.642
Zn 0.750 0.250 0.358
Zn 0.750 0.502 0.837
Zn 0.750 0.998 0.837
Co 0.250 0.250 0.663
Co 0.750 0.750 0.337

---

[5]
The following is a DFT calculation (PBE) of ZnCo3 after structural relaxation.

- Spin magnetization: 4.63 μB per formula unit
- Volume: 11.53 Å³/atom
- E: -5.60 eV/atom
- Symmetry: No. 139
- E_form: 0.052 eV per atom

Cell: 4.396 4.396 4.396 Å, 131.89 131.89 70.40°
Sites, in units of the cell vectors:
Zn 0.000 0.000 0.000
Co 0.250 0.750 0.500
Co 0.500 0.500 0.000
Co 0.750 0.250 0.500

---

[6]
The following is a DFT calculation (PBE) of Zn3Co after structural relaxation.

- Spin magnetization: 0.71 μB per formula unit
- Volume: 13.49 Å³/atom
- E: -2.61 eV/atom
- Symmetry: No. 223
- E_form: 0.126 eV per atom

Cell: 4.761 4.761 4.761 Å, 90.00 90.00 90.00°
Sites, in units of the cell vectors:
Zn 0.000 0.250 0.500
Zn 0.000 0.750 0.500
Zn 0.250 0.500 0.000
Zn 0.500 0.000 0.250
Zn 0.500 0.000 0.750
Zn 0.750 0.500 0.000
Co 0.000 0.000 0.000
Co 0.500 0.500 0.500

---

[7]
The following is a DFT calculation (PBE) of Zn5Co after structural relaxation.

- Spin magnetization: 1.15 μB per formula unit
- Volume: 14.89 Å³/atom
- E: -1.97 eV/atom
- Symmetry: No. 191
- E_form: 0.272 eV per atom

Cell: 4.906 4.906 4.286 Å, 90.00 90.00 120.00°
Sites, in units of the cell vectors:
Zn 0.000 0.500 0.000
Zn 0.333 0.667 0.500
Zn 0.500 0.000 0.000
Zn 0.500 0.500 0.000
Zn 0.667 0.333 0.500
Co 0.000 0.000 0.500

---

[8]
The following is a DFT calculation (PBE) of ZnCo after structural relaxation.

- Spin magnetization: 1.43 μB per formula unit
- Volume: 19.82 Å³/atom
- E: -2.90 eV/atom
- Symmetry: No. 216
- E_form: 1.289 eV per atom

Cell: 3.827 3.827 3.827 Å, 60.00 60.00 60.00°
Sites, in units of the cell vectors:
Zn 0.000 0.000 0.000
Co 0.250 0.250 0.250

---

[9]
The following is a DFT calculation (PBE) of ZnCo3 after structural relaxation.

- Spin magnetization: 4.94 μB per formula unit
- Volume: 11.72 Å³/atom
- E: -5.56 eV/atom
- Symmetry: No. 65
- E_form: 0.091 eV per atom

Cell: 2.485 2.485 8.358 Å, 90.00 90.00 114.82°
Sites, in units of the cell vectors:
Zn 0.000 0.000 0.000
Co 0.000 0.000 0.500
Co 0.500 0.500 0.260
Co 0.500 0.500 0.740

---

[10]
The following is a DFT calculation (PBE) of Zn5Co2 after structural relaxation.

- Spin magnetization: 0.00 μB per formula unit
- Volume: 13.42 Å³/atom
- E: -2.88 eV/atom
- Symmetry: No. 72
- E_form: 0.063 eV per atom

Cell: 7.088 7.088 7.088 Å, 128.22 69.65 136.81°
Sites, in units of the cell vectors:
Zn 0.019 0.250 0.769
Zn 0.095 0.676 0.771
Zn 0.250 0.250 0.000
Zn 0.405 0.176 0.582
Zn 0.481 0.250 0.231
Zn 0.519 0.750 0.769
Zn 0.595 0.824 0.418
Zn 0.750 0.750 0.000
Zn 0.905 0.324 0.229
Zn 0.981 0.750 0.231
Co 0.118 0.280 0.399
Co 0.382 0.780 0.162
Co 0.618 0.220 0.838
Co 0.882 0.720 0.601

---

[11]
The following is a DFT calculation (PBE) of ZnCo3 after structural relaxation.

- Spin magnetization: 4.50 μB per formula unit
- Volume: 11.53 Å³/atom
- E: -5.61 eV/atom
- Symmetry: No. 47
- E_form: 0.034 eV per atom

Cell: 2.549 3.535 5.116 Å, 90.00 90.00 90.00°
Sites, in units of the cell vectors:
Zn 0.000 0.000 0.000
Co 0.000 0.000 0.500
Co 0.500 0.500 0.262
Co 0.500 0.500 0.738

---

[12]
The following is a DFT calculation (PBE) of Zn2Co after structural relaxation.

- Spin magnetization: 1.16 μB per formula unit
- Volume: 12.90 Å³/atom
- E: -3.21 eV/atom
- Symmetry: No. 8
- E_form: 0.004 eV per atom

Cell: 4.990 4.990 6.205 Å, 104.70 104.70 31.28°
Sites, in units of the cell vectors:
Zn 0.000 0.000 0.000
Zn 0.046 0.046 0.595
Zn 0.378 0.378 0.275
Zn 0.721 0.721 0.928
Co 0.323 0.323 0.651
Co 0.667 0.667 0.339

---

[13]
The following is a DFT calculation (PBE) of ZnCo2 after structural relaxation.

- Spin magnetization: 2.78 μB per formula unit
- Volume: 11.74 Å³/atom
- E: -5.10 eV/atom
- Symmetry: No. 141
- E_form: 0.064 eV per atom

Cell: 11.209 11.209 11.209 Å, 161.56 161.56 26.20°
Sites, in units of the cell vectors:
Zn 0.293 0.543 0.750
Zn 0.457 0.707 0.750
Zn 0.543 0.293 0.250
Zn 0.707 0.457 0.250
Co 0.045 0.795 0.250
Co 0.125 0.375 0.750
Co 0.205 0.955 0.250
Co 0.375 0.125 0.250
Co 0.625 0.875 0.750
Co 0.795 0.045 0.750
Co 0.875 0.625 0.250
Co 0.955 0.205 0.750

---

[14]
The following is a DFT calculation (PBE) of ZrZn6Co6 after structural relaxation.

- Spin magnetization: 7.37 μB per formula unit
- Volume: 13.34 Å³/atom
- E: -4.61 eV/atom
- Symmetry: No. 71
- E_form: -0.089 eV per atom

Cell: 6.450 6.450 6.450 Å, 135.77 98.26 98.04°
Sites, in units of the cell vectors:
Zr 0.000 0.000 0.000
Zn 0.196 0.500 0.696
Zn 0.336 0.336 0.000
Zn 0.348 0.000 0.348
Zn 0.652 0.000 0.652
Zn 0.664 0.664 0.000
Zn 0.804 0.500 0.304
Co 0.000 0.000 0.500
Co 0.000 0.500 0.000
Co 0.230 0.730 0.500
Co 0.500 0.000 0.000
Co 0.500 0.500 0.500
Co 0.770 0.270 0.500

---

[15]
The following is a DFT calculation (PBE) of Zr2ZnCo after structural relaxation.

- Spin magnetization: 0.00 μB per formula unit
- Volume: 18.64 Å³/atom
- E: -6.26 eV/atom
- Symmetry: No. 122
- E_form: 0.108 eV per atom

Cell: 5.869 5.869 5.869 Å, 103.22 103.22 122.86°
Sites, in units of the cell vectors:
Zr 0.080 0.625 0.955
Zr 0.375 0.330 0.455
Zr 0.670 0.125 0.045
Zr 0.875 0.920 0.545
Zn 0.250 0.750 0.500
Zn 0.500 0.500 0.000
Co 0.000 0.000 0.000
Co 0.750 0.250 0.500

---

[16]
The following is a DFT calculation (PBE) of Zr2ZnCo after structural relaxation.

- Spin magnetization: 0.00 μB per formula unit
- Volume: 17.73 Å³/atom
- E: -6.61 eV/atom
- Symmetry: No. 6
- E_form: -0.240 eV per atom

Cell: 3.404 4.068 5.389 Å, 90.00 108.13 90.00°
Sites, in units of the cell vectors:
Zr 0.000 0.000 0.000
Zr 0.291 0.500 0.587
Zn 0.715 0.000 0.434
Co 0.556 0.500 0.113

---

[17]
The following is a DFT calculation (PBE) of Zr2Zn2Co after structural relaxation.

- Spin magnetization: 0.00 μB per formula unit
- Volume: 17.25 Å³/atom
- E: -5.44 eV/atom
- Symmetry: No. 127
- E_form: -0.086 eV per atom

Cell: 6.623 6.623 3.933 Å, 90.00 90.00 90.00°
Sites, in units of the cell vectors:
Zr 0.174 0.326 0.000
Zr 0.326 0.826 0.000
Zr 0.674 0.174 0.000
Zr 0.826 0.674 0.000
Zn 0.132 0.632 0.500
Zn 0.368 0.132 0.500
Zn 0.632 0.868 0.500
Zn 0.868 0.368 0.500
Co 0.000 0.000 0.500
Co 0.500 0.500 0.500

---

[18]
The following is a DFT calculation (PBE) of Zr2ZnCo after structural relaxation.

- Spin magnetization: 0.00 μB per formula unit
- Volume: 17.41 Å³/atom
- E: -6.63 eV/atom
- Symmetry: No. 10
- E_form: -0.258 eV per atom

Cell: 3.261 3.260 6.551 Å, 90.00 90.11 90.00°
Sites, in units of the cell vectors:
Zr 0.001 0.000 0.265
Zr 0.999 0.000 0.735
Zn 0.500 0.500 0.000
Co 0.500 0.500 0.500

---

[19]
The following is a DFT calculation (PBE) of Zr6Zn2Co after structural relaxation.

- Spin magnetization: 0.00 μB per formula unit
- Volume: 19.82 Å³/atom
- E: -6.98 eV/atom
- Symmetry: No. 189
- E_form: -0.213 eV per atom

Cell: 7.943 7.943 3.264 Å, 90.00 90.00 120.00°
Sites, in units of the cell vectors:
Zr 0.000 0.399 0.000
Zr 0.000 0.749 0.500
Zr 0.251 0.251 0.500
Zr 0.399 0.000 0.000
Zr 0.601 0.601 0.000
Zr 0.749 0.000 0.500
Zn 0.333 0.667 0.500
Zn 0.667 0.333 0.500
Co 0.000 0.000 0.000

---

[20]
The following is a DFT calculation (PBE) of ZrZn3Co8 after structural relaxation.

- Spin magnetization: 10.12 μB per formula unit
- Volume: 12.70 Å³/atom
- E: -5.83 eV/atom
- Symmetry: No. 156
- E_form: -0.063 eV per atom

Cell: 4.757 4.757 7.776 Å, 90.00 90.00 120.00°
Sites, in units of the cell vectors:
Zr 0.000 0.000 0.000
Zn 0.000 0.000 0.376
Zn 0.667 0.333 0.492
Zn 0.667 0.333 0.854
Co 0.163 0.326 0.677
Co 0.163 0.837 0.677
Co 0.333 0.667 0.426
Co 0.333 0.667 0.928
Co 0.505 0.010 0.184
Co 0.505 0.495 0.184
Co 0.674 0.837 0.677
Co 0.990 0.495 0.184

---

[21]
The following is a DFT calculation (PBE) of Zr2ZnCo after structural relaxation.

- Spin magnetization: 0.89 μB per formula unit
- Volume: 16.92 Å³/atom
- E: -6.28 eV/atom
- Symmetry: No. 216
- E_form: 0.085 eV per atom

Cell: 4.574 4.574 4.574 Å, 60.00 60.00 60.00°
Sites, in units of the cell vectors:
Zr 0.000 0.000 0.000
Zr 0.250 0.250 0.250
Zn 0.500 0.500 0.500
Co 0.750 0.750 0.750

---

[22]
The following is a DFT calculation (PBE) of Zr2Zn3Co2 after structural relaxation.

- Spin magnetization: 0.00 μB per formula unit
- Volume: 15.68 Å³/atom
- E: -5.27 eV/atom
- Symmetry: No. 12
- E_form: -0.254 eV per atom

Cell: 5.021 5.021 6.087 Å, 100.92 100.92 46.98°
Sites, in units of the cell vectors:
Zr 0.123 0.123 0.360
Zr 0.877 0.877 0.640
Zn 0.201 0.201 0.879
Zn 0.500 0.500 0.000
Zn 0.799 0.799 0.121
Co 0.400 0.400 0.345
Co 0.600 0.600 0.655

---

[23]
The following is a DFT calculation (PBE) of Zr3Zn9Co2 after structural relaxation.

- Spin magnetization: 0.00 μB per formula unit
- Volume: 15.62 Å³/atom
- E: -3.88 eV/atom
- Symmetry: No. 71
- E_form: -0.215 eV per atom

Cell: 7.569 7.569 7.569 Å, 147.46 105.92 83.26°
Sites, in units of the cell vectors:
Zr 0.000 0.000 0.000
Zr 0.304 0.304 0.000
Zr 0.696 0.696 0.000
Zn 0.010 0.644 0.366
Zn 0.146 0.868 0.277
Zn 0.278 0.644 0.634
Zn 0.409 0.132 0.277
Zn 0.500 0.000 0.500
Zn 0.591 0.868 0.723
Zn 0.722 0.356 0.366
Zn 0.854 0.132 0.723
Zn 0.990 0.356 0.634
Co 0.345 0.500 0.845
Co 0.655 0.500 0.155

---

[24]
The following is a DFT calculation (PBE) of Zr2Zn3Co after structural relaxation.

- Spin magnetization: 0.14 μB per formula unit
- Volume: 16.10 Å³/atom
- E: -4.91 eV/atom
- Symmetry: No. 166
- E_form: -0.238 eV per atom

Cell: 5.154 5.154 5.154 Å, 59.90 59.90 59.90°
Sites, in units of the cell vectors:
Zr 0.127 0.127 0.127
Zr 0.873 0.873 0.873
Zn 0.000 0.500 0.500
Zn 0.500 0.000 0.500
Zn 0.500 0.500 0.000
Co 0.500 0.500 0.500

---

[25]
The following is a DFT calculation (PBE) of Zr5Zn4Co after structural relaxation.

- Spin magnetization: 0.00 μB per formula unit
- Volume: 18.13 Å³/atom
- E: -5.76 eV/atom
- Symmetry: No. 123
- E_form: -0.268 eV per atom

Cell: 3.302 3.302 16.636 Å, 90.00 90.00 90.00°
Sites, in units of the cell vectors:
Zr 0.000 0.000 0.000
Zr 0.000 0.000 0.204
Zr 0.000 0.000 0.408
Zr 0.000 0.000 0.592
Zr 0.000 0.000 0.796
Zn 0.500 0.500 0.102
Zn 0.500 0.500 0.306
Zn 0.500 0.500 0.694
Zn 0.500 0.500 0.898
Co 0.500 0.500 0.500